The following is a DFT calculation (PBE) of a relaxed structure of TlCd2Pb9.

The value obtained for the formation enthalpy at 0 K is 0.07 eV per atom. The size of the total moment comes out at 0.00 μB/atom.

Lattice parameters (Å, degrees): 5.910 5.910 10.496 90.00 90.00 90.00
Sites, in units of the cell vectors:
1 Tl 0.000 0.000 0.000
2 Cd 0.000 0.000 0.340
3 Cd 0.000 0.000 0.660
4 Pb 0.000 0.500 0.173
5 Pb 0.000 0.500 0.500
6 Pb 0.000 0.500 0.827
7 Pb 0.500 0.000 0.173
8 Pb 0.500 0.000 0.500
9 Pb 0.500 0.000 0.827
10 Pb 0.500 0.500 0.000
11 Pb 0.500 0.500 0.335
12 Pb 0.500 0.500 0.665

=====

The following is a DFT calculation (PBE) of a relaxed structure of Tl2CdPb2.

The value obtained for the formation enthalpy at 0 K is 0.09 eV per atom. The size of the total moment comes out at 0.00 μB/atom.

Lattice parameters (Å, degrees): 8.053 8.053 4.931 90.00 90.00 90.00
Sites, in units of the cell vectors:
1 Tl 0.158 0.342 0.000
2 Tl 0.342 0.842 0.000
3 Tl 0.658 0.158 0.000
4 Tl 0.842 0.658 0.000
5 Cd 0.000 0.000 0.500
6 Cd 0.500 0.500 0.500
7 Pb 0.145 0.645 0.500
8 Pb 0.355 0.145 0.500
9 Pb 0.645 0.855 0.500
10 Pb 0.855 0.355 0.500

=====

The following is a DFT calculation (PBE) of a relaxed structure of Tl4CdPb4.

The value obtained for the formation enthalpy at 0 K is 0.01 eV per atom. The size of the total moment comes out at 0.00 μB/atom.

Lattice parameters (Å, degrees): 7.850 7.850 7.850 95.64 95.64 143.47
Sites, in units of the cell vectors:
1 Tl 0.000 0.329 0.329
2 Tl 0.000 0.671 0.671
3 Tl 0.329 0.000 0.329
4 Tl 0.671 0.000 0.671
5 Cd 0.000 0.000 0.000
6 Pb 0.338 0.338 0.676
7 Pb 0.338 0.662 0.000
8 Pb 0.662 0.338 0.000
9 Pb 0.662 0.662 0.324

=====

The following is a DFT calculation (PBE) of a relaxed structure of Tl2CdPb.

The value obtained for the formation enthalpy at 0 K is 0.04 eV per atom. The size of the total moment comes out at 0.00 μB/atom.

Lattice parameters (Å, degrees): 3.651 5.590 5.741 90.00 90.00 90.00
Sites, in units of the cell vectors:
1 Tl 0.000 0.000 0.000
2 Tl 0.500 0.500 0.000
3 Cd 0.000 0.500 0.500
4 Pb 0.500 0.000 0.500

=====

The following is a DFT calculation (PBE) of a relaxed structure of Tl2CdPb.

The value obtained for the formation enthalpy at 0 K is 0.03 eV per atom. The size of the total moment comes out at 0.00 μB/atom.

Lattice parameters (Å, degrees): 11.195 3.562 5.958 90.00 100.82 90.00
Sites, in units of the cell vectors:
1 Tl 0.000 0.000 0.000
2 Tl 0.243 0.000 0.749
3 Tl 0.500 0.500 0.000
4 Tl 0.743 0.500 0.749
5 Cd 0.244 0.500 0.252
6 Cd 0.744 0.000 0.252
7 Pb 0.488 0.000 0.484
8 Pb 0.988 0.500 0.484

=====

The following is a DFT calculation (PBE) of a relaxed structure of TlCd2Pb.

The value obtained for the formation enthalpy at 0 K is 0.06 eV per atom. The size of the total moment comes out at 0.00 μB/atom.

Lattice parameters (Å, degrees): 10.414 3.561 6.080 90.00 103.09 90.00
Sites, in units of the cell vectors:
1 Tl 0.000 0.000 0.000
2 Tl 0.500 0.500 0.000
3 Cd 0.015 0.500 0.534
4 Cd 0.249 0.000 0.753
5 Cd 0.515 0.000 0.534
6 Cd 0.749 0.500 0.753
7 Pb 0.265 0.500 0.284
8 Pb 0.765 0.000 0.284

=====

The following is a DFT calculation (PBE) of a relaxed structure of Tl2CdPb2.

The value obtained for the formation enthalpy at 0 K is 0.01 eV per atom. The size of the total moment comes out at 0.00 μB/atom.

Lattice parameters (Å, degrees): 3.559 3.559 23.500 90.00 90.00 90.00
Sites, in units of the cell vectors:
1 Tl 0.000 0.000 0.093
2 Tl 0.000 0.000 0.907
3 Tl 0.500 0.500 0.407
4 Tl 0.500 0.500 0.593
5 Cd 0.000 0.000 0.500
6 Cd 0.500 0.500 0.000
7 Pb 0.000 0.000 0.300
8 Pb 0.000 0.000 0.700
9 Pb 0.500 0.500 0.200
10 Pb 0.500 0.500 0.800

=====

The following is a DFT calculation (PBE) of a relaxed structure of TlCd2Pb.

The value obtained for the formation enthalpy at 0 K is 0.11 eV per atom. The size of the total moment comes out at 0.00 μB/atom.

Lattice parameters (Å, degrees): 7.622 7.622 7.622 90.00 90.00 90.00
Sites, in units of the cell vectors:
1 Tl 0.000 0.000 0.000
2 Tl 0.000 0.500 0.500
3 Tl 0.500 0.000 0.500
4 Tl 0.500 0.500 0.000
5 Cd 0.000 0.000 0.500
6 Cd 0.000 0.500 0.000
7 Cd 0.250 0.250 0.750
8 Cd 0.250 0.750 0.250
9 Cd 0.500 0.000 0.000
10 Cd 0.500 0.500 0.500
11 Cd 0.750 0.250 0.250
12 Cd 0.750 0.750 0.750
13 Pb 0.250 0.250 0.250
14 Pb 0.250 0.750 0.750
15 Pb 0.750 0.250 0.750
16 Pb 0.750 0.750 0.250

=====

The following is a DFT calculation (PBE) of a relaxed structure of Tl5Cd2Pb12.

The value obtained for the formation enthalpy at 0 K is 0.05 eV per atom. The size of the total moment comes out at 0.00 μB/atom.

Lattice parameters (Å, degrees): 10.962 10.962 5.745 101.32 101.32 61.96
Sites, in units of the cell vectors:
1 Tl 0.000 0.000 0.000
2 Tl 0.195 0.195 0.134
3 Tl 0.303 0.303 0.709
4 Tl 0.697 0.697 0.291
5 Tl 0.805 0.805 0.866
6 Cd 0.248 0.752 0.500
7 Cd 0.752 0.248 0.500
8 Pb 0.061 0.552 0.303
9 Pb 0.095 0.095 0.560
10 Pb 0.176 0.642 0.896
11 Pb 0.358 0.824 0.104
12 Pb 0.419 0.419 0.298
13 Pb 0.448 0.939 0.697
14 Pb 0.552 0.061 0.303
15 Pb 0.581 0.581 0.702
16 Pb 0.642 0.176 0.896
17 Pb 0.824 0.358 0.104
18 Pb 0.905 0.905 0.440
19 Pb 0.939 0.448 0.697

=====

The following is a DFT calculation (PBE) of a relaxed structure of Tl7CdPb3.

The value obtained for the formation enthalpy at 0 K is 0.06 eV per atom. The size of the total moment comes out at 0.00 μB/atom.

Lattice parameters (Å, degrees): 12.794 12.794 16.457 90.00 90.00 164.73
Sites, in units of the cell vectors:
1 Tl 0.020 0.980 0.610
2 Tl 0.020 0.980 0.890
3 Tl 0.121 0.879 0.250
4 Tl 0.156 0.844 0.611
5 Tl 0.156 0.844 0.889
6 Tl 0.212 0.788 0.073
7 Tl 0.212 0.788 0.427
8 Tl 0.788 0.212 0.573
9 Tl 0.788 0.212 0.927
10 Tl 0.844 0.156 0.111
11 Tl 0.844 0.156 0.389
12 Tl 0.879 0.121 0.750
13 Tl 0.980 0.020 0.110
14 Tl 0.980 0.020 0.390
15 Cd 0.412 0.588 0.250
16 Cd 0.588 0.412 0.750
17 Pb 0.265 0.735 0.250
18 Pb 0.408 0.592 0.559
19 Pb 0.408 0.592 0.941
20 Pb 0.592 0.408 0.059
21 Pb 0.592 0.408 0.441
22 Pb 0.735 0.265 0.750

=====

The following is a DFT calculation (PBE) of a relaxed structure of Tl7Cd2Pb.

The value obtained for the formation enthalpy at 0 K is 0.06 eV per atom. The size of the total moment comes out at 0.00 μB/atom.

Lattice parameters (Å, degrees): 14.436 14.436 3.354 90.00 90.00 154.23
Sites, in units of the cell vectors:
1 Tl 0.000 0.000 0.000
2 Tl 0.154 0.357 0.000
3 Tl 0.300 0.700 0.500
4 Tl 0.357 0.154 0.000
5 Tl 0.643 0.846 0.000
6 Tl 0.700 0.300 0.500
7 Tl 0.846 0.643 0.000
8 Cd 0.201 0.799 0.000
9 Cd 0.799 0.201 0.000
10 Pb 0.500 0.500 0.500

=====

The following is a DFT calculation (PBE) of a relaxed structure of TlCd6Pb.

The value obtained for the formation enthalpy at 0 K is 0.05 eV per atom. The size of the total moment comes out at 0.00 μB/atom.

Lattice parameters (Å, degrees): 4.931 7.371 11.294 90.00 90.00 90.00
Sites, in units of the cell vectors:
1 Tl 0.000 0.000 0.000
2 Tl 0.000 0.500 0.500
3 Cd 0.000 0.000 0.556
4 Cd 0.000 0.208 0.281
5 Cd 0.000 0.292 0.781
6 Cd 0.000 0.500 0.056
7 Cd 0.000 0.708 0.781
8 Cd 0.000 0.792 0.281
9 Cd 0.500 0.000 0.189
10 Cd 0.500 0.210 0.466
11 Cd 0.500 0.290 0.966
12 Cd 0.500 0.500 0.689
13 Cd 0.500 0.710 0.966
14 Cd 0.500 0.790 0.466
15 Pb 0.500 0.000 0.743
16 Pb 0.500 0.500 0.243